# 1
Pr6Al3Fe11: PBEsol geometry, SCAN.

Values from the calculation:
Space-group type: No. 108
Fermi-level density of states, states/eV/atom: 0.840
Formation energy from the elements, meV/atom: -118

Unit cell a=7.9618 b=7.9618 c=12.8320 alpha=108.07 beta=108.07 gamma=90.00
Last column: magnetic moment on the atom in μB.
Atoms (fractional coordinates):
Fe  0.0689  0.7897  0.0021  2.52
Fe  0.8792  0.7385  0.1177  2.56
Fe  0.2385  0.3792  0.1177  2.56
Fe  0.2124  0.0689  0.0021  2.52
Fe  0.1218  0.2693  0.8911  2.34
Fe  0.4806  0.2050  0.1856  2.73
Fe  0.6218  0.1218  0.8911  2.34
Fe  0.2897  0.5689  0.0021  2.52
Fe  0.3792  0.8792  0.1177  2.56
Fe  0.5689  0.7124  0.0021  2.52
Fe  0.4332  0.2897  0.0021  2.52
Fe  0.2050  0.7050  0.1856  2.73
Fe  0.7385  0.2385  0.1177  2.56
Fe  0.7050  0.9806  0.1856  2.73
Fe  0.7693  0.6218  0.8911  2.34
Fe  0.2693  0.7693  0.8911  2.34
Fe  0.7897  0.9332  0.0021  2.52
Fe  0.7124  0.4332  0.0021  2.52
Fe  0.9806  0.4806  0.1856  2.73
Fe  0.0014  0.5014  0.0028  2.04
Fe  0.5014  0.0014  0.0028  2.04
Fe  0.9332  0.2124  0.0021  2.52
Pr  0.3948  0.3948  0.7897  -0.29
Pr  0.4781  0.9781  0.6170  -0.06
Pr  0.0199  0.8489  0.3688  -0.29
Pr  0.6389  0.4781  0.6170  -0.06
Pr  0.6062  0.6062  0.2124  -0.36
Pr  0.3489  0.5199  0.3688  -0.29
Pr  0.9781  0.1389  0.6170  -0.06
Pr  0.1389  0.6389  0.6170  -0.06
Pr  0.8489  0.3489  0.3688  -0.29
Pr  0.8948  0.8948  0.7897  -0.29
Pr  0.5199  0.0199  0.3688  -0.29
Pr  0.1062  0.1062  0.2124  -0.36
Al  0.7880  0.2880  0.8139  -0.06
Al  0.2493  0.2493  0.4986  0.05
Al  0.0259  0.5259  0.8139  -0.06
Al  0.5259  0.7880  0.8139  -0.06
Al  0.2880  0.0259  0.8139  -0.06
Al  0.7493  0.7493  0.4986  0.05


# 2
Gd2SCl4: PBEsol geometry, SCAN.

Values from the calculation:
Space-group type: No. 15
Fermi-level density of states, states/eV/atom: 0.000
Raw formation energy, eV/atom: -2.45

Unit cell a=6.2881 b=6.8934 c=8.0783 alpha=97.25 beta=112.90 gamma=90.00
Last column: magnetic moment on the atom in μB.
Atoms (fractional coordinates):
Gd  0.1003  0.9213  0.7858  6.99
Gd  0.6855  0.4213  0.7858  6.99
Gd  0.8997  0.0787  0.2142  6.99
Gd  0.3145  0.5787  0.2142  6.99
Cl  0.4811  0.9258  0.1764  -0.03
Cl  0.1385  0.8191  0.4407  -0.03
Cl  0.5189  0.0742  0.8236  -0.03
Cl  0.3022  0.3191  0.4407  -0.03
Cl  0.3047  0.5742  0.8236  -0.03
Cl  0.8615  0.1809  0.5593  -0.03
Cl  0.6978  0.6809  0.5593  -0.03
Cl  0.6953  0.4258  0.1764  -0.03
S  0.0686  0.2500  0.0000  -0.07
S  0.9314  0.7500  0.0000  -0.07


# 3
CaOsPt: PBEsol geometry, SCAN.

Values from the calculation:
Space-group type: No. 216
Fermi-level density of states, states/eV/atom: 1.124
Formation energy from the elements, meV/atom: 555

Unit cell a=4.3876 b=4.3876 c=4.3876 alpha=60.00 beta=60.00 gamma=60.00
Atoms (fractional coordinates):
Pt  0.0000  0.0000  0.0000
Ca  0.5000  0.5000  0.5000
Os  0.2500  0.2500  0.2500


# 4
Li2PtW: PBEsol geometry, SCAN.

Values from the calculation:
Space-group type: No. 216
Fermi-level density of states, states/eV/atom: 0.133
Energy above the lowest structure with this stoichiometry, meV per atom: 0
Formation energy from the elements, meV/atom: -155

Unit cell a=4.2319 b=4.2319 c=4.2319 alpha=60.00 beta=60.00 gamma=60.00
Atoms (fractional coordinates):
Li  0.0000  0.0000  0.0000
Li  0.7500  0.7500  0.7500
Pt  0.5000  0.5000  0.5000
W  0.2500  0.2500  0.2500


# 5
Ba2ZrMn: PBEsol geometry, SCAN.

Values from the calculation:
Space-group type: No. 225
Fermi-level density of states, states/eV/atom: 1.128
Formation energy from the elements, meV/atom: 702

Unit cell a=5.6274 b=5.6274 c=5.6274 alpha=60.00 beta=60.00 gamma=60.00
Last column: magnetic moment on the atom in μB.
Atoms (fractional coordinates):
Ba  0.7500  0.7500  0.7500  -0.23
Ba  0.2500  0.2500  0.2500  -0.23
Mn  0.0000  0.0000  0.0000  4.35
Zr  0.5000  0.5000  0.5000  -1.58


# 6
Li2CuAu: PBEsol geometry, SCAN.

Values from the calculation:
Space-group type: No. 25
Fermi-level density of states, states/eV/atom: 0.233
Formation energy from the elements, meV/atom: -299

Unit cell a=2.6865 b=3.9491 c=5.2801 alpha=90.00 beta=90.00 gamma=90.00
Atoms (fractional coordinates):
Li  0.5000  0.5000  0.2654
Li  0.0000  0.0000  0.9856
Au  0.0000  0.0000  0.5000
Cu  0.5000  0.5000  0.7489


# 7
YRh4Au: PBEsol geometry, SCAN.

Values from the calculation:
Space-group type: No. 216
Fermi-level density of states, states/eV/atom: 1.292
Formation energy from the elements, meV/atom: -357

Unit cell a=5.1619 b=5.1619 c=5.1619 alpha=60.00 beta=60.00 gamma=60.00
Atoms (fractional coordinates):
Rh  0.3744  0.3744  0.8768
Rh  0.8768  0.3744  0.3744
Rh  0.3744  0.8768  0.3744
Rh  0.3744  0.3744  0.3744
Au  0.0000  0.0000  0.0000
Y  0.7500  0.7500  0.7500


# 8
Na2WO4: PBEsol geometry, SCAN.

Values from the calculation:
Space-group type: No. 227
Fermi-level density of states, states/eV/atom: 0.000
Raw formation energy, eV/atom: -2.31

Unit cell a=6.4470 b=6.4470 c=6.4470 alpha=60.00 beta=60.00 gamma=60.00
Atoms (fractional coordinates):
O  0.9089  0.3637  0.3637
O  0.8863  0.8863  0.8863
O  0.3637  0.3637  0.3637
O  0.3637  0.3637  0.9089
O  0.8863  0.8863  0.3411
O  0.3637  0.9089  0.3637
O  0.3411  0.8863  0.8863
O  0.8863  0.3411  0.8863
Na  0.6250  0.1250  0.6250
Na  0.1250  0.6250  0.6250
Na  0.6250  0.6250  0.1250
Na  0.6250  0.6250  0.6250
W  0.0000  0.0000  0.0000
W  0.2500  0.2500  0.2500


# 9
Cu2Pt: PBEsol geometry, SCAN.

Values from the calculation:
Space-group type: No. 5
Fermi-level density of states, states/eV/atom: 0.393
Energy above the lowest structure with this stoichiometry, meV per atom: 32
Formation energy from the elements, meV/atom: -133

Unit cell a=5.3224 b=5.3224 c=5.6962 alpha=76.53 beta=76.53 gamma=89.96
Atoms (fractional coordinates):
Cu  0.3350  0.3332  0.6712
Cu  0.6660  0.1697  0.3341
Cu  0.9888  0.4899  0.0023
Cu  0.8303  0.3340  0.6659
Cu  0.5101  0.4899  0.0000
Cu  0.5101  0.0112  0.9977
Cu  0.6668  0.6650  0.3288
Cu  0.9896  0.0104  0.0000
Pt  0.1714  0.6681  0.3178
Pt  0.3319  0.8286  0.6822
Pt  0.1708  0.1706  0.3231
Pt  0.8294  0.8292  0.6769


# 10
Zn7GeN6: PBEsol geometry, SCAN.

Values from the calculation:
Space-group type: No. 60
Raw formation energy, eV/atom: 0.02

Unit cell a=5.6057 b=10.2817 c=12.3868 alpha=90.00 beta=90.00 gamma=90.00
Atoms (fractional coordinates):
Ge  0.0867  0.0000  0.2500
Ge  0.5867  0.5000  0.2500
Ge  0.9133  0.0000  0.7500
Ge  0.4133  0.5000  0.7500
Zn  0.8567  0.7371  0.3433
Zn  0.7695  0.5186  0.5398
Zn  0.9194  0.5000  0.7500
Zn  0.2026  0.2864  0.9258
Zn  0.1433  0.2629  0.6567
Zn  0.7026  0.7864  0.5742
Zn  0.0806  0.5000  0.2500
Zn  0.3567  0.7629  0.3433
Zn  0.4194  0.0000  0.7500
Zn  0.2974  0.7864  0.0742
Zn  0.2305  0.5186  0.0398
Zn  0.2026  0.7136  0.5742
Zn  0.2695  0.0186  0.9602
Zn  0.2974  0.2136  0.4258
Zn  0.2305  0.4814  0.4602
Zn  0.7305  0.9814  0.0398
Zn  0.8567  0.2629  0.1567
Zn  0.7695  0.4814  0.9602
Zn  0.1433  0.7371  0.8433
Zn  0.6433  0.7629  0.8433
Zn  0.7974  0.2864  0.4258
Zn  0.7305  0.0186  0.4602
Zn  0.6433  0.2371  0.6567
Zn  0.7974  0.7136  0.0742
Zn  0.2695  0.9814  0.5398
Zn  0.5806  0.0000  0.2500
Zn  0.3567  0.2371  0.1567
Zn  0.7026  0.2136  0.9258
N  0.6931  0.1294  0.7862
N  0.1363  0.9286  0.8455
N  0.6931  0.8706  0.7138
N  0.3069  0.1294  0.2862
N  0.5869  0.8306  0.9885
N  0.9131  0.6694  0.4885
N  0.8069  0.6294  0.2138
N  0.8637  0.9286  0.3455
N  0.1363  0.0714  0.6545
N  0.0869  0.3306  0.5115
N  0.3069  0.8706  0.2138
N  0.6363  0.5714  0.8455
N  0.8069  0.3706  0.2862
N  0.6363  0.4286  0.6545
N  0.4131  0.1694  0.0115
N  0.3637  0.5714  0.3455
N  0.5869  0.1694  0.5115
N  0.4131  0.8306  0.4885
N  0.1931  0.3706  0.7862
N  0.0869  0.6694  0.9885
N  0.9131  0.3306  0.0115
N  0.1931  0.6294  0.7138
N  0.8637  0.0714  0.1545
N  0.3637  0.4286  0.1545


# 11
GdGa2Co: PBEsol geometry, SCAN.

Values from the calculation:
Space-group type: No. 65
Fermi-level density of states, states/eV/atom: 0.740
Formation energy from the elements, meV/atom: -525

Unit cell a=3.9106 b=4.0628 c=9.0445 alpha=77.02 beta=90.00 gamma=90.00
Last column: magnetic moment on the atom in μB.
Atoms (fractional coordinates):
Gd  0.0000  0.6413  0.7175  7.14
Gd  0.0000  0.3587  0.2825  7.14
Ga  0.5000  0.5000  0.0000  0.00
Ga  0.5000  0.2087  0.5826  -0.01
Ga  0.5000  0.7913  0.4174  -0.01
Ga  0.0000  0.0000  0.0000  0.01
Co  0.5000  0.9250  0.1500  -0.34
Co  0.5000  0.0750  0.8500  -0.34


# 12
YCoAg2: PBEsol geometry, SCAN.

Values from the calculation:
Space-group type: No. 123
Fermi-level density of states, states/eV/atom: 0.519
Formation energy from the elements, meV/atom: 108

Unit cell a=3.5822 b=3.5822 c=5.5739 alpha=90.00 beta=90.00 gamma=90.00
Last column: magnetic moment on the atom in μB.
Atoms (fractional coordinates):
Ag  0.0000  0.0000  0.2298  -0.04
Ag  0.0000  0.0000  0.7702  -0.04
Y  0.5000  0.5000  0.5000  -0.22
Co  0.5000  0.5000  0.0000  1.67


# 13
Cu2P7: PBEsol geometry, SCAN.

Values from the calculation:
Space-group type: No. 12
Formation energy from the elements, meV/atom: -146

Unit cell a=7.2013 b=7.2255 c=14.4114 alpha=75.96 beta=75.53 gamma=60.11
Atoms (fractional coordinates):
Cu  0.6161  0.5618  0.2060
Cu  0.3839  0.4382  0.7940
Cu  0.0341  0.2847  0.6470
Cu  0.8441  0.3450  0.9669
Cu  0.7173  0.9914  0.5740
Cu  0.9659  0.7153  0.3530
Cu  0.2827  0.0086  0.4260
Cu  0.1559  0.6550  0.0331
P  0.5281  0.2967  0.6470
P  0.1705  0.1662  0.0193
P  0.3454  0.3527  0.9565
P  0.7295  0.4577  0.5789
P  0.5412  0.0619  0.1718
P  0.8966  0.4095  0.7972
P  0.8295  0.8338  0.9807
P  0.5573  0.7807  0.6226
P  0.7767  0.0383  0.4082
P  0.2339  0.4577  0.5789
P  0.4588  0.9381  0.8282
P  0.6441  0.1662  0.0193
P  0.1034  0.5905  0.2028
P  0.4719  0.7033  0.3530
P  0.3559  0.8338  0.9807
P  0.9606  0.2193  0.3774
P  0.2251  0.0619  0.1718
P  0.4427  0.2193  0.3774
P  0.5585  0.6341  0.7771
P  0.0303  0.6341  0.7771
P  0.7749  0.9381  0.8282
P  0.2705  0.5423  0.4211
P  0.9697  0.3659  0.2229
P  0.2233  0.9617  0.5918
P  0.4415  0.3659  0.2229
P  0.0394  0.7807  0.6226
P  0.7661  0.5423  0.4211
P  0.6546  0.6473  0.0435


# 14
Ba2MgRe: PBEsol geometry, SCAN.

Values from the calculation:
Space-group type: No. 99
Fermi-level density of states, states/eV/atom: 0.956
Formation energy from the elements, meV/atom: 729

Unit cell a=3.7093 b=3.7093 c=9.0984 alpha=90.00 beta=90.00 gamma=90.00
Last column: magnetic moment on the atom in μB.
Atoms (fractional coordinates):
Re  0.5000  0.5000  0.6722  0.57
Ba  0.0000  0.0000  0.9152  -0.03
Ba  0.5000  0.5000  0.3336  -0.02
Mg  0.0000  0.0000  0.5790  0.00


# 15
GaAgF2: PBEsol geometry, SCAN.

Values from the calculation:
Space-group type: No. 166
Fermi-level density of states, states/eV/atom: 0.099
Raw formation energy, eV/atom: -1.28

Unit cell a=2.8643 b=2.8643 c=7.7015 alpha=79.28 beta=79.28 gamma=60.00
Atoms (fractional coordinates):
Ag  0.5000  0.5000  0.5000
F  0.0877  0.0877  0.7368
F  0.9123  0.9123  0.2632
Ga  0.0000  0.0000  0.0000


# 16
YTiNbNi2: PBEsol geometry, SCAN.

Values from the calculation:
Space-group type: No. 123
Fermi-level density of states, states/eV/atom: 0.845
Formation energy from the elements, meV/atom: 1077

Unit cell a=4.5172 b=4.5172 c=5.0523 alpha=90.00 beta=90.00 gamma=90.00
Last column: magnetic moment on the atom in μB.
Atoms (fractional coordinates):
Ni  0.0000  0.5000  0.0000  0.01
Ni  0.5000  0.0000  0.0000  0.01
Nb  0.0000  0.0000  0.0000  -0.21
Y  0.0000  0.0000  0.5000  0.19
Ti  0.5000  0.5000  0.5000  1.66


# 17
ZrTcPt4: PBEsol geometry, SCAN.

Values from the calculation:
Space-group type: No. 216
Fermi-level density of states, states/eV/atom: 0.558
Formation energy from the elements, meV/atom: -446

Unit cell a=5.1688 b=5.1688 c=5.1688 alpha=60.00 beta=60.00 gamma=60.00
Last column: magnetic moment on the atom in μB.
Atoms (fractional coordinates):
Tc  0.7500  0.7500  0.7500  2.98
Pt  0.3757  0.3757  0.3757  0.10
Pt  0.3757  0.8728  0.3757  0.10
Pt  0.3757  0.3757  0.8728  0.10
Pt  0.8728  0.3757  0.3757  0.10
Zr  0.0000  0.0000  0.0000  0.02


# 18
In2RhCl: PBEsol geometry, SCAN.

Values from the calculation:
Space-group type: No. 123
Fermi-level density of states, states/eV/atom: 0.531
Energy above the lowest structure with this stoichiometry, meV per atom: 73
Raw formation energy, eV/atom: -0.38

Unit cell a=3.1499 b=3.1499 c=7.7237 alpha=90.00 beta=90.00 gamma=90.00
Atoms (fractional coordinates):
In  0.0000  0.0000  0.2166
In  0.0000  0.0000  0.7834
Cl  0.5000  0.5000  0.5000
Rh  0.5000  0.5000  0.0000


# 19
Be5C: PBEsol geometry, SCAN.

Values from the calculation:
Space-group type: No. 38
Fermi-level density of states, states/eV/atom: 0.109
Formation energy from the elements, meV/atom: 441

Unit cell a=2.8637 b=2.9255 c=5.7987 alpha=90.00 beta=104.30 gamma=90.00
Atoms (fractional coordinates):
C  0.0836  0.5000  0.1672
Be  0.7969  0.5000  0.5937
Be  0.4830  0.5000  0.9659
Be  0.6362  0.0000  0.2725
Be  0.3395  0.0000  0.6790
Be  0.9942  0.0000  0.9883